(1)
A relaxed EuPaCo2 crystal. Source: the Alexandria database, functional PBE.

Values from the calculation:
DOS at the Fermi energy = 7.96 states/eV/f.u.
DFT formation energy = -148.2 meV per atom
ΔE to the lowest computed polymorph = 0 kJ/mol of formula units
SG = P4/mmm (123)

Structure (POSCAR):
```
EuPaCo2
1.0
3.3412 0.0000 0.0000
0.0000 3.3412 0.0000
0.0000 0.0000 7.0685
Pa Co Eu
1 2 1
Direct
0.5000 0.5000 0.0000
0.0000 0.0000 0.8132
0.0000 0.0000 0.1868
0.5000 0.5000 0.5000
```

***

(2)
A relaxed PrEuCoPd crystal. Source: the Alexandria database, functional PBE.

Values from the calculation:
DOS at the Fermi energy = 9.96 states/eV/f.u.
DFT formation energy = -212.1 meV per atom
SG = F-43m (216)

Structure (POSCAR):
```
PrEuCoPd
1.0
5.0390 0.0000 0.0000
2.5195 4.3639 0.0000
2.5195 1.4546 4.1144
Eu Co Pr Pd
1 1 1 1
Direct
0.0000 0.0000 0.0000
0.2500 0.2500 0.2500
0.5000 0.5000 0.5000
0.7500 0.7500 0.7500
```

***

(3)
A relaxed PmEuCo4 crystal. Source: the Alexandria database, functional PBE.

Values from the calculation:
DOS at the Fermi energy = 10.41 states/eV/f.u.
DFT formation energy = 1.4 meV per atom
SG = F-43m (216)

Structure (POSCAR):
```
PmEuCo4
1.0
5.1630 0.0000 0.0000
2.5815 4.4712 0.0000
2.5815 1.4904 4.2155
Co Eu Pm
4 1 1
Direct
0.6251 0.6251 0.6251
0.1246 0.6251 0.6251
0.6251 0.6251 0.1246
0.6251 0.1246 0.6251
0.2500 0.2500 0.2500
0.0000 0.0000 0.0000
```

***

(4)
A relaxed PmEuCo2 crystal. Source: the Alexandria database, functional PBE.

Values from the calculation:
DOS at the Fermi energy = 13.44 states/eV/f.u.
DFT formation energy = 235.8 meV per atom
SG = P4/mmm (123)

Structure (POSCAR):
```
PmEuCo2
1.0
3.4387 0.0000 0.0000
0.0000 4.8512 0.0000
0.0000 0.0000 4.8512
Eu Co Pm
1 2 1
Direct
0.5000 0.0000 0.0000
0.0000 0.0000 0.5000
0.0000 0.5000 0.0000
0.5000 0.5000 0.5000
```

***

(5)
A relaxed Pr2EuCo crystal. Source: the Alexandria database, functional PBE.

Values from the calculation:
DOS at the Fermi energy = 4.07 states/eV/f.u.
DFT formation energy = 73.7 meV per atom
SG = P4/mmm (123)

Structure (POSCAR):
```
Pr2EuCo
1.0
-2.1971 0.2599 -2.7868
2.3958 -1.6571 -2.0434
-3.9320 -8.5268 2.3046
Eu Pr Co
1 2 1
Direct
0.5000 0.5000 0.5000
0.0000 0.0000 0.8281
0.0000 0.0000 0.1719
0.5000 0.5000 0.0000
```

***

(6)
A relaxed Pr4Eu2Co crystal. Source: the Alexandria database, functional PBE.

Values from the calculation:
DOS at the Fermi energy = 9.84 states/eV/f.u.
DFT formation energy = 191.9 meV per atom
SG = I4/mmm (139)

Structure (POSCAR):
```
Pr4Eu2Co
1.0
-0.8289 -4.4595 2.9335
5.3342 -0.8016 0.2887
2.5874 2.3665 9.3022
Eu Pr Co
2 4 1
Direct
0.6534 0.6534 0.6931
0.3466 0.3466 0.3069
0.1506 0.1506 0.6988
0.5000 0.0000 0.0000
0.0000 0.5000 0.0000
0.8494 0.8494 0.3012
0.0000 0.0000 0.0000
```

***

(7)
A relaxed PrEuZnCo crystal. Source: the Alexandria database, functional PBE.

Values from the calculation:
DOS at the Fermi energy = 4.84 states/eV/f.u.
DFT formation energy = -14.3 meV per atom
SG = F-43m (216)

Structure (POSCAR):
```
PrEuZnCo
1.0
-2.9250 3.8915 1.4840
-4.0851 1.3031 -2.7416
-4.6713 -0.8770 1.8197
Pr Eu Co Zn
1 1 1 1
Direct
0.0000 0.0000 0.0000
0.5000 0.5000 0.5000
0.7500 0.7500 0.7500
0.2500 0.2500 0.2500
```

***

(8)
A relaxed EuPu2Co crystal. Source: the Alexandria database, functional PBE.

Values from the calculation:
DOS at the Fermi energy = 18.85 states/eV/f.u.
DFT formation energy = 191.0 meV per atom
ΔE to the lowest computed polymorph = 5 kJ/mol of formula units
SG = R-3m (166)

Structure (POSCAR):
```
EuPu2Co
1.0
-2.5142 2.4026 -1.3373
-3.6381 -0.7252 0.3467
-2.1568 5.0050 7.8569
Eu Pu Co
1 2 1
Direct
0.5000 0.5000 0.5000
0.7215 0.7215 0.8356
0.2785 0.2785 0.1644
0.0000 0.0000 0.0000
```

***

(9)
A relaxed EuPuCo2 crystal. Source: the Alexandria database, functional PBE.

Values from the calculation:
DOS at the Fermi energy = 9.25 states/eV/f.u.
DFT formation energy = 111.2 meV per atom
ΔE to the lowest computed polymorph = 22 kJ/mol of formula units
SG = P4/mmm (123)

Structure (POSCAR):
```
EuPuCo2
1.0
3.3430 0.0000 0.0000
0.0000 3.3430 0.0000
0.0000 0.0000 6.9737
Eu Pu Co
1 1 2
Direct
0.5000 0.5000 0.5000
0.5000 0.5000 0.0000
0.0000 0.0000 0.2008
0.0000 0.0000 0.7992
```

***

(10)
A relaxed EuPuCo2 crystal. Source: the Alexandria database, functional PBE.

Values from the calculation:
DOS at the Fermi energy = 15.99 states/eV/f.u.
DFT formation energy = 53.0 meV per atom
ΔE to the lowest computed polymorph = 0 kJ/mol of formula units
SG = R-3m (166)

Structure (POSCAR):
```
EuPuCo2
1.0
4.1899 0.0000 0.0000
2.0949 3.6285 0.0000
2.0949 1.2095 5.4527
Pu Eu Co
1 1 2
Direct
0.5000 0.5000 0.5000
0.0000 0.0000 0.0000
0.2027 0.2027 0.3920
0.7973 0.7973 0.6080
```

***

(11)
A relaxed EuPuCo4 crystal. Source: the Alexandria database, functional PBE.

Values from the calculation:
DOS at the Fermi energy = 15.59 states/eV/f.u.
DFT formation energy = 10.4 meV per atom
SG = F-43m (216)

Structure (POSCAR):
```
EuPuCo4
1.0
-4.1029 -1.5987 -2.5180
-0.7261 -4.9597 -0.7772
-3.6999 -2.4390 2.4681
Co Eu Pu
4 1 1
Direct
0.6260 0.6260 0.6260
0.6260 0.1221 0.6260
0.6260 0.6260 0.1221
0.1221 0.6260 0.6260
0.2500 0.2500 0.2500
0.0000 0.0000 0.0000
```

***

(12)
A relaxed EuPu2Co crystal. Source: the Alexandria database, functional PBE.

Values from the calculation:
DOS at the Fermi energy = 13.77 states/eV/f.u.
DFT formation energy = 177.3 meV per atom
ΔE to the lowest computed polymorph = 0 kJ/mol of formula units
SG = P4/mmm (123)

Structure (POSCAR):
```
EuPu2Co
1.0
3.3621 0.0000 0.0000
0.0000 3.3621 0.0000
0.0000 0.0000 8.9705
Pu Co Eu
2 1 1
Direct
0.0000 0.0000 0.1744
0.0000 0.0000 0.8256
0.5000 0.5000 0.0000
0.5000 0.5000 0.5000
```

***

(13)
A relaxed Eu3Co5S12 crystal. Source: the Alexandria database, functional PBE.

Values from the calculation:
DOS at the Fermi energy = 25.61 states/eV/f.u.
Uncorrected formation energy = -0.7304 eV per atom
SG = Ia-3d (230)

Structure (POSCAR):
```
Eu3Co5S12
1.0
12.5727 0.0000 0.0000
-4.1909 11.8536 0.0000
-4.1909 -5.9268 10.2655
S Eu Co
48 12 20
Direct
0.6974 0.1076 0.0170
0.6076 0.0170 0.1974
0.5898 0.6974 0.6805
0.1076 0.4102 0.0907
0.5898 0.8924 0.4093
0.4830 0.8026 0.8924
0.1805 0.0898 0.6974
0.5170 0.1974 0.1076
0.8026 0.3195 0.9102
0.0898 0.1805 0.1974
0.8026 0.4830 0.3924
0.9093 0.0898 0.8924
0.5907 0.6076 0.4102
0.6805 0.4830 0.5907
0.4830 0.6805 0.0907
0.0898 0.9093 0.3924
0.9102 0.8195 0.8026
0.9102 0.0907 0.6076
0.9830 0.5907 0.1805
0.0907 0.1805 0.4830
0.5170 0.3195 0.9093
0.8924 0.5898 0.9093
0.9093 0.8195 0.5170
0.8195 0.9093 0.0170
0.3195 0.5170 0.4093
0.5907 0.9830 0.6805
0.0170 0.6076 0.6974
0.6805 0.1974 0.5898
0.4093 0.0170 0.3195
0.4102 0.1076 0.5907
0.9830 0.3924 0.3026
0.3195 0.8026 0.4102
0.4102 0.3026 0.3195
0.8924 0.3026 0.4830
0.6974 0.5898 0.1805
0.6076 0.5907 0.9102
0.3924 0.9830 0.8026
0.1974 0.5170 0.6076
0.1805 0.0907 0.9830
0.1974 0.6805 0.0898
0.3026 0.8924 0.9830
0.3026 0.4102 0.8195
0.3924 0.4093 0.0898
0.1076 0.6974 0.5170
0.4093 0.3924 0.5898
0.0907 0.9102 0.1076
0.0170 0.4093 0.8195
0.8195 0.9102 0.3026
0.6250 0.3750 0.7500
0.1250 0.2500 0.8750
0.3750 0.7500 0.6250
0.6250 0.2500 0.3750
0.3750 0.6250 0.2500
0.2500 0.6250 0.8750
0.8750 0.7500 0.1250
0.8750 0.1250 0.2500
0.7500 0.3750 0.1250
0.2500 0.1250 0.3750
0.7500 0.8750 0.6250
0.1250 0.8750 0.7500
0.8750 0.6250 0.7500
0.0000 0.5000 0.0000
0.1250 0.7500 0.3750
0.5000 0.0000 0.0000
0.2500 0.8750 0.1250
0.6250 0.8750 0.2500
0.5000 0.5000 0.5000
0.3750 0.2500 0.1250
0.0000 0.5000 0.5000
0.0000 0.0000 0.5000
0.1250 0.3750 0.2500
0.5000 0.0000 0.5000
0.3750 0.1250 0.7500
0.5000 0.5000 0.0000
0.8750 0.2500 0.6250
0.2500 0.3750 0.6250
0.6250 0.7500 0.8750
0.7500 0.1250 0.8750
0.0000 0.0000 0.0000
0.7500 0.6250 0.3750
```

***

(14)
A relaxed Eu3Co5Se12 crystal. Source: the Alexandria database, functional PBE.

Values from the calculation:
DOS at the Fermi energy = 21.65 states/eV/f.u.
Uncorrected formation energy = -0.6290 eV per atom
SG = Ia-3d (230)

Structure (POSCAR):
```
Eu3Co5Se12
1.0
-2.1729 7.0426 11.0313
-11.2218 -0.7749 -7.0342
4.0216 -12.2123 3.2703
Co Se Eu
20 48 12
Direct
0.2500 0.8750 0.1250
0.5000 0.5000 0.5000
0.0000 0.5000 0.0000
0.2500 0.3750 0.6250
0.6250 0.8750 0.2500
0.7500 0.1250 0.8750
0.8750 0.2500 0.6250
0.8750 0.6250 0.7500
0.5000 0.0000 0.0000
0.6250 0.7500 0.8750
0.1250 0.3750 0.2500
0.7500 0.6250 0.3750
0.1250 0.7500 0.3750
0.0000 0.0000 0.5000
0.3750 0.1250 0.7500
0.0000 0.0000 0.0000
0.0000 0.5000 0.5000
0.3750 0.2500 0.1250
0.5000 0.5000 0.0000
0.5000 0.0000 0.5000
0.4093 0.3014 0.3204
0.5907 0.8922 0.4111
0.9111 0.8204 0.5190
0.0907 0.9111 0.3922
0.1986 0.5190 0.6078
0.3014 0.4093 0.8204
0.8204 0.9093 0.3014
0.3204 0.5190 0.4111
0.8014 0.3204 0.9093
0.1078 0.4093 0.0889
0.0907 0.1796 0.1986
0.4810 0.8014 0.8922
0.0889 0.9093 0.1078
0.1796 0.0889 0.9810
0.9810 0.3922 0.3014
0.5889 0.9810 0.6796
0.6078 0.5889 0.9093
0.8014 0.4810 0.3922
0.3204 0.8014 0.4093
0.9093 0.8204 0.8014
0.1986 0.6796 0.0907
0.8204 0.9111 0.0190
0.9093 0.0889 0.6078
0.6796 0.4810 0.5889
0.3014 0.8922 0.9810
0.3922 0.4111 0.0907
0.5889 0.6078 0.4093
0.4111 0.3922 0.5907
0.5190 0.3204 0.9111
0.1078 0.6986 0.5190
0.4093 0.1078 0.5889
0.9111 0.0907 0.8922
0.0889 0.1796 0.4810
0.0190 0.6078 0.6986
0.6796 0.1986 0.5907
0.3922 0.9810 0.8014
0.5190 0.1986 0.1078
0.6078 0.0190 0.1986
0.5907 0.6986 0.6796
0.6986 0.1078 0.0190
0.0190 0.4111 0.8204
0.6986 0.5907 0.1796
0.9810 0.5889 0.1796
0.4111 0.0190 0.3204
0.1796 0.0907 0.6986
0.8922 0.3014 0.4810
0.4810 0.6796 0.0889
0.8922 0.5907 0.9111
0.8750 0.7500 0.1250
0.7500 0.8750 0.6250
0.3750 0.7500 0.6250
0.6250 0.3750 0.7500
0.8750 0.1250 0.2500
0.3750 0.6250 0.2500
0.6250 0.2500 0.3750
0.2500 0.1250 0.3750
0.2500 0.6250 0.8750
0.7500 0.3750 0.1250
0.1250 0.2500 0.8750
0.1250 0.8750 0.7500
```

***

(15)
A relaxed EuCoSi crystal. Source: the Alexandria database, functional PBE.

Values from the calculation:
DOS at the Fermi energy = 5.93 states/eV/f.u.
Uncorrected formation energy = -0.3785 eV per atom
SG = P-6m2 (187)

Structure (POSCAR):
```
EuCoSi
1.0
-2.7045 1.2090 -3.1488
2.0091 -2.2400 -2.5856
-3.0436 -1.5480 2.0198
Si Co Eu
1 1 1
Direct
0.1667 0.0000 0.0000
0.1667 0.3333 0.6667
0.6667 0.6667 0.3333
```

***

(16)
A relaxed Sm3EuCo crystal. Source: the Alexandria database, functional PBE.

Values from the calculation:
DOS at the Fermi energy = 6.46 states/eV/f.u.
DFT formation energy = 4.3 meV per atom
SG = Pm-3m (221)

Structure (POSCAR):
```
Sm3EuCo
1.0
-0.9878 -5.3624 -0.0270
0.4754 -0.1149 5.4307
-5.3413 0.9814 0.4883
Co Sm Eu
1 3 1
Direct
0.0000 0.0000 0.0000
0.0000 0.5000 0.0000
0.0000 0.0000 0.5000
0.5000 0.0000 0.0000
0.5000 0.5000 0.5000
```

***

(17)
A relaxed Sm2EuCo crystal. Source: the Alexandria database, functional PBE.

Values from the calculation:
DOS at the Fermi energy = 4.48 states/eV/f.u.
DFT formation energy = 105.2 meV per atom
ΔE to the lowest computed polymorph = 34 kJ/mol of formula units
SG = R-3m (166)

Structure (POSCAR):
```
Sm2EuCo
1.0
3.8500 0.0000 0.0000
1.9250 3.3342 0.0000
1.9250 1.1114 10.4982
Sm Co Eu
2 1 1
Direct
0.8816 0.8816 0.3553
0.1184 0.1184 0.6447
0.5000 0.5000 0.5000
0.0000 0.0000 0.0000
```

***

(18)
A relaxed SmEuCo crystal. Source: the Alexandria database, functional PBE.

Values from the calculation:
DOS at the Fermi energy = 7.65 states/eV/f.u.
DFT formation energy = 53.2 meV per atom
SG = I4mm (107)

Structure (POSCAR):
```
SmEuCo
1.0
3.4812 0.0000 0.0000
0.0000 3.4812 0.0000
-1.7406 -1.7406 6.5371
Sm Co Eu
1 1 1
Direct
0.2894 0.2894 0.5789
0.6753 0.6753 0.3506
0.0353 0.0353 0.0705
```

***

(19)
A relaxed Sm2EuCo crystal. Source: the Alexandria database, functional PBE.

Values from the calculation:
DOS at the Fermi energy = 4.53 states/eV/f.u.
DFT formation energy = 17.2 meV per atom
ΔE to the lowest computed polymorph = 0 kJ/mol of formula units
SG = P4/mmm (123)

Structure (POSCAR):
```
Sm2EuCo
1.0
-1.8515 -2.3903 1.7569
-1.2615 -1.2400 -3.0165
7.2235 -6.0022 -0.5536
Co Eu Sm
1 1 2
Direct
0.5000 0.5000 0.0000
0.5000 0.5000 0.5000
0.0000 0.0000 0.1736
0.0000 0.0000 0.8264
```

***

(20)
A relaxed SmEuCo4 crystal. Source: the Alexandria database, functional PBE.

Values from the calculation:
DOS at the Fermi energy = 10.23 states/eV/f.u.
DFT formation energy = -10.3 meV per atom
SG = F-43m (216)

Structure (POSCAR):
```
SmEuCo4
1.0
5.1553 0.0000 0.0000
2.5777 4.4646 0.0000
2.5777 1.4882 4.2093
Eu Sm Co
1 1 4
Direct
0.0000 0.0000 0.0000
0.2500 0.2500 0.2500
0.6248 0.6248 0.1257
0.1257 0.6248 0.6248
0.6248 0.1257 0.6248
0.6248 0.6248 0.6248
```